(1)
Material: LaDy
Method: DFT, PBE-GGA
State: relaxed

Properties
D(E_F): 4.942 states/eV/f.u.
Magnetic moment: 0.19 μB per atom
Polymorph energy (0 for the lowest one): 140 meV per atom
Calculated volume: 139.09 Å³/cell
Symmetry: R-3m

The structure in CIF format:
```
data_LaDy
_chemical_formula_sum 'La2 Dy2'
_cell_length_a 5.786
_cell_length_b 5.786
_cell_length_c 5.846
_cell_angle_alpha 60.34
_cell_angle_beta 60.34
_cell_angle_gamma 60.00
_space_group_name_H-M_alt 'P 1'
_space_group_IT_number 1
_space_group_name_Hall 'P 1'
loop_
_atom_site_label
_atom_site_type_symbol
_atom_site_fract_x
_atom_site_fract_y
_atom_site_fract_z
La1 La 0.115 0.115 0.655
La2 La 0.885 0.885 0.345
Dy1 Dy 0.367 0.367 0.900
Dy2 Dy 0.633 0.633 0.100
```


(2)
Material: LaDy3
Method: DFT, PBE-GGA
State: relaxed

Properties
Raw total energy: -4.557 eV per atom
D(E_F): 7.846 states/eV/f.u.
Magnetic moment: 0.00 μB per atom
Calculated volume: 133.39 Å³/cell
Symmetry: Fm-3m

The structure in CIF format:
```
data_LaDy3
_chemical_formula_sum 'La1 Dy3'
_cell_length_a 5.735
_cell_length_b 5.735
_cell_length_c 5.735
_cell_angle_alpha 60.00
_cell_angle_beta 60.00
_cell_angle_gamma 60.00
_space_group_name_H-M_alt 'P 1'
_space_group_IT_number 1
_space_group_name_Hall 'P 1'
loop_
_atom_site_label
_atom_site_type_symbol
_atom_site_fract_x
_atom_site_fract_y
_atom_site_fract_z
La1 La 0.500 0.500 0.500
Dy1 Dy 0.000 0.000 0.000
Dy2 Dy 0.750 0.750 0.750
Dy3 Dy 0.250 0.250 0.250
```


(3)
Material: La5Dy4
Method: DFT, PBE-GGA
State: relaxed

Properties
D(E_F): 14.095 states/eV/f.u.
Magnetic moment: 0.00 μB per atom
Polymorph energy (0 for the lowest one): 0 meV per atom
Calculated volume: 310.08 Å³/cell
Symmetry: I4/mmm

The structure in CIF format:
```
data_La5Dy4
_chemical_formula_sum 'La5 Dy4'
_cell_length_a 5.190
_cell_length_b 8.153
_cell_length_c 8.153
_cell_angle_alpha 84.19
_cell_angle_beta 71.44
_cell_angle_gamma 71.44
_space_group_name_H-M_alt 'P 1'
_space_group_IT_number 1
_space_group_name_Hall 'P 1'
loop_
_atom_site_label
_atom_site_type_symbol
_atom_site_fract_x
_atom_site_fract_y
_atom_site_fract_z
La1 La 0.669 0.331 0.331
La2 La 0.331 0.669 0.669
La3 La 0.000 0.000 0.000
La4 La 0.000 0.669 0.331
La5 La 0.000 0.331 0.669
Dy1 Dy 0.666 0.000 0.667
Dy2 Dy 0.334 0.333 0.000
Dy3 Dy 0.334 0.000 0.333
Dy4 Dy 0.666 0.667 0.000
```


(4)
Material: LaDy6
Method: DFT, PBE-GGA
State: relaxed

Properties
Raw total energy: -3.320 eV per atom
D(E_F): 7.495 states/eV/f.u.
Magnetic moment: 0.00 μB per atom
Calculated volume: 264.11 Å³/cell
Symmetry: Im-3m

The structure in CIF format:
```
data_LaDy6
_chemical_formula_sum 'La1 Dy6'
_cell_length_a 7.001
_cell_length_b 7.001
_cell_length_c 7.001
_cell_angle_alpha 109.47
_cell_angle_beta 109.47
_cell_angle_gamma 109.47
_space_group_name_H-M_alt 'P 1'
_space_group_IT_number 1
_space_group_name_Hall 'P 1'
loop_
_atom_site_label
_atom_site_type_symbol
_atom_site_fract_x
_atom_site_fract_y
_atom_site_fract_z
La1 La 0.000 0.000 0.000
Dy1 Dy 0.250 0.750 0.500
Dy2 Dy 0.500 0.750 0.250
Dy3 Dy 0.250 0.500 0.750
Dy4 Dy 0.750 0.250 0.500
Dy5 Dy 0.500 0.250 0.750
Dy6 Dy 0.750 0.500 0.250
```


(5)
Material: Li5La12Dy3
Method: DFT, PBE-GGA
State: relaxed

Properties
Raw total energy: -3.461 eV per atom
D(E_F): 33.557 states/eV/f.u.
Magnetic moment: 0.00 μB per atom
Calculated volume: 3108.80 Å³/cell
Symmetry: Ia-3d

The structure in CIF format:
```
data_Li5La12Dy3
_chemical_formula_sum 'Li20 La48 Dy12'
_cell_length_a 15.925
_cell_length_b 15.925
_cell_length_c 15.925
_cell_angle_alpha 109.47
_cell_angle_beta 109.47
_cell_angle_gamma 109.47
_space_group_name_H-M_alt 'P 1'
_space_group_IT_number 1
_space_group_name_Hall 'P 1'
loop_
_atom_site_label
_atom_site_type_symbol
_atom_site_fract_x
_atom_site_fract_y
_atom_site_fract_z
Dy1 Dy 0.750 0.375 0.125
Dy2 Dy 0.875 0.750 0.125
Dy3 Dy 0.375 0.750 0.625
Dy4 Dy 0.250 0.125 0.375
Dy5 Dy 0.875 0.125 0.250
Dy6 Dy 0.375 0.625 0.250
Dy7 Dy 0.625 0.375 0.750
Dy8 Dy 0.125 0.875 0.750
Dy9 Dy 0.750 0.875 0.625
Dy10 Dy 0.625 0.250 0.375
Dy11 Dy 0.125 0.250 0.875
Dy12 Dy 0.250 0.625 0.875
Li1 Li 0.125 0.375 0.250
Li2 Li 0.000 0.500 0.000
Li3 Li 0.000 0.000 0.000
Li4 Li 0.375 0.250 0.125
Li5 Li 0.500 0.000 0.500
Li6 Li 0.500 0.500 0.000
Li7 Li 0.125 0.750 0.375
Li8 Li 0.750 0.125 0.875
Li9 Li 0.750 0.625 0.375
Li10 Li 0.375 0.125 0.750
Li11 Li 0.625 0.875 0.250
Li12 Li 0.500 0.500 0.500
Li13 Li 0.500 0.000 0.000
Li14 Li 0.000 0.000 0.500
Li15 Li 0.250 0.375 0.625
Li16 Li 0.250 0.875 0.125
Li17 Li 0.000 0.500 0.500
Li18 Li 0.875 0.250 0.625
Li19 Li 0.625 0.750 0.875
Li20 Li 0.875 0.625 0.750
La1 La 0.720 0.127 0.057
La2 La 0.338 0.557 0.431
La3 La 0.943 0.373 0.280
La4 La 0.557 0.220 0.127
La5 La 0.593 0.720 0.662
La6 La 0.943 0.569 0.162
La7 La 0.338 0.780 0.407
La8 La 0.069 0.907 0.127
La9 La 0.569 0.943 0.662
La10 La 0.720 0.593 0.162
La11 La 0.780 0.443 0.373
La12 La 0.838 0.931 0.057
La13 La 0.127 0.720 0.557
La14 La 0.373 0.431 0.093
La15 La 0.093 0.931 0.373
La16 La 0.407 0.127 0.569
La17 La 0.093 0.162 0.220
La18 La 0.443 0.662 0.069
La19 La 0.838 0.907 0.280
La20 La 0.127 0.407 0.069
La21 La 0.373 0.943 0.780
La22 La 0.569 0.627 0.407
La23 La 0.931 0.838 0.557
La24 La 0.780 0.338 0.907
La25 La 0.431 0.373 0.593
La26 La 0.069 0.162 0.443
La27 La 0.220 0.662 0.093
La28 La 0.162 0.093 0.720
La29 La 0.627 0.057 0.220
La30 La 0.873 0.593 0.931
La31 La 0.557 0.338 0.931
La32 La 0.593 0.873 0.431
La33 La 0.907 0.838 0.780
La34 La 0.907 0.069 0.627
La35 La 0.873 0.280 0.443
La36 La 0.162 0.069 0.943
La37 La 0.627 0.569 0.907
La38 La 0.431 0.057 0.338
La39 La 0.280 0.407 0.838
La40 La 0.220 0.557 0.627
La41 La 0.931 0.093 0.873
La42 La 0.662 0.220 0.593
La43 La 0.443 0.780 0.873
La44 La 0.057 0.431 0.838
La45 La 0.407 0.280 0.338
La46 La 0.057 0.627 0.720
La47 La 0.662 0.443 0.569
La48 La 0.280 0.873 0.943
```


(6)
Material: LiLa6Dy
Method: DFT, PBE-GGA
State: relaxed

Properties
Raw total energy: -4.435 eV per atom
D(E_F): 13.148 states/eV/f.u.
Magnetic moment: 0.00 μB per atom
Calculated volume: 274.54 Å³/cell
Symmetry: I4/mmm

The structure in CIF format:
```
data_LiLa6Dy
_chemical_formula_sum 'Li1 La6 Dy1'
_cell_length_a 5.271
_cell_length_b 5.271
_cell_length_c 10.562
_cell_angle_alpha 75.55
_cell_angle_beta 75.55
_cell_angle_gamma 90.00
_space_group_name_H-M_alt 'P 1'
_space_group_IT_number 1
_space_group_name_Hall 'P 1'
loop_
_atom_site_label
_atom_site_type_symbol
_atom_site_fract_x
_atom_site_fract_y
_atom_site_fract_z
Li1 Li 0.000 0.000 0.000
La1 La 0.752 0.752 0.496
La2 La 0.619 0.120 0.761
La3 La 0.119 0.620 0.761
La4 La 0.381 0.880 0.239
La5 La 0.248 0.248 0.504
La6 La 0.881 0.380 0.239
Dy1 Dy 0.500 0.500 0.000
```


(7)
Material: LiLa5Dy4
Method: DFT, PBE-GGA
State: relaxed

Properties
Raw total energy: -4.455 eV per atom
D(E_F): 15.512 states/eV/f.u.
Magnetic moment: 0.00 μB per atom
Calculated volume: 334.45 Å³/cell
Symmetry: P4/mmm

The structure in CIF format:
```
data_LiLa5Dy4
_chemical_formula_sum 'Li1 La5 Dy4'
_cell_length_a 3.692
_cell_length_b 3.692
_cell_length_c 24.537
_cell_angle_alpha 90.00
_cell_angle_beta 90.00
_cell_angle_gamma 90.00
_space_group_name_H-M_alt 'P 1'
_space_group_IT_number 1
_space_group_name_Hall 'P 1'
loop_
_atom_site_label
_atom_site_type_symbol
_atom_site_fract_x
_atom_site_fract_y
_atom_site_fract_z
Li1 Li 0.000 0.000 0.000
La1 La 0.500 0.500 0.089
La2 La 0.500 0.500 0.295
La3 La 0.500 0.500 0.500
La4 La 0.500 0.500 0.705
La5 La 0.500 0.500 0.911
Dy1 Dy 0.000 0.000 0.192
Dy2 Dy 0.000 0.000 0.397
Dy3 Dy 0.000 0.000 0.603
Dy4 Dy 0.000 0.000 0.808
```


(8)
Material: Li4LaDy
Method: DFT, PBE-GGA
State: relaxed

Properties
Raw total energy: -2.752 eV per atom
D(E_F): 6.837 states/eV/f.u.
Magnetic moment: 0.00 μB per atom
Calculated volume: 149.10 Å³/cell
Symmetry: F-43m

The structure in CIF format:
```
data_Li4LaDy
_chemical_formula_sum 'Li4 La1 Dy1'
_cell_length_a 5.952
_cell_length_b 5.952
_cell_length_c 5.952
_cell_angle_alpha 60.00
_cell_angle_beta 60.00
_cell_angle_gamma 60.00
_space_group_name_H-M_alt 'P 1'
_space_group_IT_number 1
_space_group_name_Hall 'P 1'
loop_
_atom_site_label
_atom_site_type_symbol
_atom_site_fract_x
_atom_site_fract_y
_atom_site_fract_z
La1 La 0.250 0.250 0.250
Li1 Li 0.626 0.626 0.123
Li2 Li 0.626 0.123 0.626
Li3 Li 0.626 0.626 0.626
Li4 Li 0.123 0.626 0.626
Dy1 Dy 0.000 0.000 0.000
```


(9)
Material: Li12La5Dy3
Method: DFT, PBE-GGA
State: relaxed

Properties
Raw total energy: -2.349 eV per atom
D(E_F): 27.980 states/eV/f.u.
Magnetic moment: 0.26 μB per atom
Calculated volume: 2575.37 Å³/cell
Symmetry: Ia-3d

The structure in CIF format:
```
data_Li12La5Dy3
_chemical_formula_sum 'Li48 La20 Dy12'
_cell_length_a 14.956
_cell_length_b 14.956
_cell_length_c 14.956
_cell_angle_alpha 109.47
_cell_angle_beta 109.47
_cell_angle_gamma 109.47
_space_group_name_H-M_alt 'P 1'
_space_group_IT_number 1
_space_group_name_Hall 'P 1'
loop_
_atom_site_label
_atom_site_type_symbol
_atom_site_fract_x
_atom_site_fract_y
_atom_site_fract_z
Dy1 Dy 0.750 0.375 0.125
Dy2 Dy 0.875 0.750 0.125
Dy3 Dy 0.375 0.750 0.625
Dy4 Dy 0.250 0.125 0.375
Dy5 Dy 0.875 0.125 0.250
Dy6 Dy 0.375 0.625 0.250
Dy7 Dy 0.625 0.375 0.750
Dy8 Dy 0.125 0.875 0.750
Dy9 Dy 0.750 0.875 0.625
Dy10 Dy 0.625 0.250 0.375
Dy11 Dy 0.125 0.250 0.875
Dy12 Dy 0.250 0.625 0.875
La1 La 0.125 0.375 0.250
La2 La 0.000 0.500 0.000
La3 La 0.000 0.000 0.000
La4 La 0.375 0.250 0.125
La5 La 0.500 0.000 0.500
La6 La 0.500 0.500 0.000
La7 La 0.125 0.750 0.375
La8 La 0.750 0.125 0.875
La9 La 0.750 0.625 0.375
La10 La 0.375 0.125 0.750
La11 La 0.625 0.875 0.250
La12 La 0.500 0.500 0.500
La13 La 0.500 0.000 0.000
La14 La 0.000 0.000 0.500
La15 La 0.250 0.375 0.625
La16 La 0.250 0.875 0.125
La17 La 0.000 0.500 0.500
La18 La 0.875 0.250 0.625
La19 La 0.625 0.750 0.875
La20 La 0.875 0.625 0.750
Li1 Li 0.737 0.155 0.090
Li2 Li 0.353 0.590 0.435
Li3 Li 0.910 0.345 0.263
Li4 Li 0.590 0.237 0.155
Li5 Li 0.582 0.737 0.647
Li6 Li 0.910 0.565 0.147
Li7 Li 0.353 0.763 0.418
Li8 Li 0.065 0.918 0.155
Li9 Li 0.565 0.910 0.647
Li10 Li 0.737 0.582 0.147
Li11 Li 0.763 0.410 0.345
Li12 Li 0.853 0.935 0.090
Li13 Li 0.155 0.737 0.590
Li14 Li 0.345 0.435 0.082
Li15 Li 0.082 0.935 0.345
Li16 Li 0.418 0.155 0.565
Li17 Li 0.082 0.147 0.237
Li18 Li 0.410 0.647 0.065
Li19 Li 0.853 0.918 0.263
Li20 Li 0.155 0.418 0.065
Li21 Li 0.345 0.910 0.763
Li22 Li 0.565 0.655 0.418
Li23 Li 0.935 0.853 0.590
Li24 Li 0.763 0.353 0.918
Li25 Li 0.435 0.345 0.582
Li26 Li 0.065 0.147 0.410
Li27 Li 0.237 0.647 0.082
Li28 Li 0.147 0.082 0.737
Li29 Li 0.655 0.090 0.237
Li30 Li 0.845 0.582 0.935
Li31 Li 0.590 0.353 0.935
Li32 Li 0.582 0.845 0.435
Li33 Li 0.918 0.853 0.763
Li34 Li 0.918 0.065 0.655
Li35 Li 0.845 0.263 0.410
Li36 Li 0.147 0.065 0.910
Li37 Li 0.655 0.565 0.918
Li38 Li 0.435 0.090 0.353
Li39 Li 0.263 0.418 0.853
Li40 Li 0.237 0.590 0.655
Li41 Li 0.935 0.082 0.845
Li42 Li 0.647 0.237 0.582
Li43 Li 0.410 0.763 0.845
Li44 Li 0.090 0.435 0.853
Li45 Li 0.418 0.263 0.353
Li46 Li 0.090 0.655 0.737
Li47 Li 0.647 0.410 0.565
Li48 Li 0.263 0.845 0.910
```